# 1
Nd7SmDy3 | PBE | relaxed

Cell lengths 5.9404, 11.3898, 11.4272 Å; angles 90.00, 90.00, 90.00 degrees
Space group Immm (No. 71)
Asymmetric unit:
Nd1 0.0000 0.0000 0.0000
Nd2 0.0000 0.2090 0.5000
Nd3 0.0000 0.3046 0.2075
Sm1 0.0000 0.5000 0.5000
Dy1 0.0000 0.0000 0.2966
Dy2 0.0000 0.5000 0.0000

Output
Total magnetization   0.05 μB per formula unit
Energy of formation from the pure elements   0.22 eV/atom
Calculated volume   35.14 Å³ per atom
ΔE to the lowest computed polymorph   0.043 eV/atom
Crystal system   orthorhombic
DFT total energy   -4.50 eV/atom

=====

# 2
PmDy14Tl | PBE | relaxed

Cell lengths 7.0335, 7.0335, 10.0282 Å; angles 90.00, 90.00, 90.00 degrees
Space group P4/mmm (No. 123)
Asymmetric unit:
Pm1 0.0000 0.0000 0.0000
Dy1 0.0000 0.0000 0.5000
Dy2 0.0000 0.5000 0.0000
Dy3 0.0000 0.5000 0.5000
Dy4 0.2497 0.2497 0.2496
Dy5 0.5000 0.5000 0.5000
Tl1 0.5000 0.5000 0.0000

Output
Total magnetization   0.00 μB per formula unit
Energy of formation from the pure elements   -0.01 eV/atom
Calculated volume   31.01 Å³ per atom
Crystal system   tetragonal
DFT total energy   -4.48 eV/atom

=====

# 3
LaCdHg4 | PBE | relaxed

Cell lengths 10.1468, 4.4855, 7.1879 Å; angles 90.00, 107.31, 90.00 degrees
Space group C2/m (No. 12)
Asymmetric unit:
La1 0.0000 0.0000 0.0000
Cd1 0.0000 0.0000 0.5000
Hg1 0.1611 0.5000 0.8053
Hg2 0.1697 0.5000 0.3329

Output
Total magnetization   0.00 μB per formula unit
Energy of formation from the pure elements   -0.27 eV/atom
Calculated volume   26.03 Å³ per atom
ΔE to the lowest computed polymorph   0.000 eV/atom
Crystal system   monoclinic
DFT total energy   -1.45 eV/atom

=====

# 4
Sr2Al5Pt3 | PBE | relaxed

Cell lengths 10.6155, 12.6291, 6.0038 Å; angles 90.00, 90.00, 90.00 degrees
Space group Ibam (No. 72)
Asymmetric unit:
Sr1 0.2298 0.1377 0.0000
Al1 0.0000 0.0000 0.2500
Al2 0.0000 0.2790 0.2500
Al3 0.1570 0.4032 0.0000
Pt1 0.0000 0.5000 0.2500
Pt2 0.1069 0.1371 0.5000

Output
Total magnetization   0.00 μB per formula unit
Energy of formation from the pure elements   -0.85 eV/atom
Calculated volume   20.12 Å³ per atom
Crystal system   orthorhombic
DFT total energy   -4.87 eV/atom

=====

# 5
TlSn2HAu | PBE | relaxed

Cell lengths 5.6767, 5.6767, 3.5196 Å; angles 90.00, 90.00, 90.00 degrees
Space group P4/mmm (No. 123)
Asymmetric unit:
Tl1 0.0000 0.0000 0.0000
Sn1 0.0000 0.5000 0.5000
H1 0.5000 0.5000 0.0000
Au1 0.5000 0.5000 0.5000

Output
Total magnetization   0.00 μB per formula unit
Calculated volume   22.68 Å³ per atom
Crystal system   tetragonal
DFT total energy   -3.32 eV/atom

=====

# 6
Pb2Au | PBE | relaxed

Cell lengths 4.6863, 4.6863, 28.8959 Å; angles 90.00, 90.00, 90.00 degrees
Space group I4_1/amd (No. 141, origin choice 2)
Asymmetric unit:
Pb1 0.0000 0.2500 0.1254
Pb2 0.0000 0.2500 0.2880
Au1 0.0000 0.2500 0.7899

Output
Total magnetization   0.00 μB per formula unit
Energy of formation from the pure elements   0.05 eV/atom
Calculated volume   26.44 Å³ per atom
Crystal system   tetragonal
DFT total energy   -3.52 eV/atom

=====

# 7
LuCdCoAg | PBE | relaxed

Cell lengths 6.6637, 6.6637, 6.6637 Å; angles 90.00, 90.00, 90.00 degrees
Space group F-43m (No. 216)
Asymmetric unit:
Lu1 0.0000 0.0000 0.0000
Cd1 0.0000 0.0000 0.5000
Co1 0.2500 0.2500 0.2500
Ag1 0.2500 0.2500 0.7500

Output
Total magnetization   0.64 μB per formula unit
Energy of formation from the pure elements   -0.05 eV/atom
Calculated volume   18.49 Å³ per atom
Crystal system   cubic
DFT total energy   -3.90 eV/atom

=====

# 8
SmDy4In5 | PBE | relaxed

Cell lengths 3.7630, 3.7630, 18.9847 Å; angles 90.00, 90.00, 90.00 degrees
Space group P4/mmm (No. 123)
Asymmetric unit:
Sm1 0.0000 0.0000 0.0000
Dy1 0.0000 0.0000 0.2035
Dy2 0.0000 0.0000 0.4012
In1 0.5000 0.5000 0.1049
In2 0.5000 0.5000 0.3024
In3 0.5000 0.5000 0.5000

Output
Total magnetization   0.00 μB per formula unit
Energy of formation from the pure elements   -0.47 eV/atom
Calculated volume   26.88 Å³ per atom
Crystal system   tetragonal
DFT total energy   -4.15 eV/atom

=====

# 9
PuTcB | PBE | relaxed

Cell lengths 3.5088, 3.5088, 23.7133 Å; angles 90.00, 90.00, 120.00 degrees
Space group R-3m (No. 166, hexagonal axes)
Asymmetric unit:
Pu1 0.0000 0.0000 0.1390
Tc1 0.0000 0.0000 0.3710
B1 0.0000 0.0000 0.2704

Output
Total magnetization   0.00 μB per formula unit
Energy of formation from the pure elements   -0.07 eV/atom
Calculated volume   14.05 Å³ per atom
ΔE to the lowest computed polymorph   0.028 eV/atom
Crystal system   trigonal
DFT total energy   -10.52 eV/atom

=====

# 10
CaEr2Zn4 | PBE | relaxed

Cell lengths 4.9095, 4.9095, 14.4204 Å; angles 90.00, 90.00, 90.00 degrees
Space group I4/mmm (No. 139)
Asymmetric unit:
Ca1 0.0000 0.0000 0.0000
Er1 0.0000 0.0000 0.2550
Zn1 0.0000 0.5000 0.1282

Output
Total magnetization   0.00 μB per formula unit
Energy of formation from the pure elements   -0.07 eV/atom
Calculated volume   24.83 Å³ per atom
Crystal system   tetragonal
DFT total energy   -2.38 eV/atom

=====

# 11
La2CeZn | PBE | relaxed

Cell lengths 3.6609, 3.6609, 8.6822 Å; angles 90.00, 90.00, 90.00 degrees
Space group P4/mmm (No. 123)
Asymmetric unit:
La1 0.0000 0.0000 0.2240
Ce1 0.5000 0.5000 0.5000
Zn1 0.5000 0.5000 0.0000

Output
Total magnetization   0.13 μB per formula unit
Energy of formation from the pure elements   -0.11 eV/atom
Calculated volume   29.09 Å³ per atom
ΔE to the lowest computed polymorph   0.000 eV/atom
Crystal system   tetragonal
DFT total energy   -4.37 eV/atom

=====

# 12
RePtN | PBE | relaxed

Cell lengths 2.7967, 3.8773, 14.0584 Å; angles 90.00, 90.00, 90.00 degrees
Space group Amm2 (No. 38)
Asymmetric unit:
Re1 0.0000 0.0000 0.0000
Re2 0.5000 0.0000 0.1787
Pt1 0.0000 0.0000 0.8067
Pt2 0.5000 0.0000 0.4107
N1 0.0000 0.1780 0.6167

Output
Total magnetization   0.00 μB per formula unit
Calculated volume   12.70 Å³ per atom
ΔE to the lowest computed polymorph   0.232 eV/atom
Crystal system   orthorhombic
DFT total energy   -8.70 eV/atom
Energy relative to the elements, uncorrected   240.6 meV per atom

=====

# 13
Cs6S2I | PBE | relaxed

Cell lengths 8.8615, 11.6065, 9.3922 Å; angles 90.00, 96.73, 90.00 degrees
Space group C2/m (No. 12)
Asymmetric unit:
Cs1 0.2186 0.2057 0.2273
Cs2 0.2408 0.5000 0.4211
S1 0.0000 0.2491 0.5000
I1 0.0000 0.5000 0.0000

Output
Total magnetization   0.61 μB per formula unit
Calculated volume   53.30 Å³ per atom
Crystal system   monoclinic
DFT total energy   -2.58 eV/atom
Energy relative to the elements, uncorrected   -924.7 meV per atom

=====

# 14
Ba12Sr3Hg | PBE | relaxed

Cell lengths 6.2487, 6.2487, 23.7856 Å; angles 90.00, 90.00, 90.00 degrees
Space group P4/mmm (No. 123)
Asymmetric unit:
Ba1 0.0000 0.0000 0.0000
Ba2 0.0000 0.0000 0.2309
Ba3 0.0000 0.0000 0.5000
Ba4 0.0000 0.5000 0.0994
Ba5 0.0000 0.5000 0.3667
Sr1 0.5000 0.5000 0.2351
Sr2 0.5000 0.5000 0.5000
Hg1 0.5000 0.5000 0.0000

Output
Total magnetization   0.00 μB per formula unit
Energy of formation from the pure elements   -0.01 eV/atom
Calculated volume   58.05 Å³ per atom
Crystal system   tetragonal
DFT total energy   -1.78 eV/atom

=====

# 15
BaIn2AgPt | PBE | relaxed

Cell lengths 5.1730, 5.1730, 5.4402 Å; angles 90.00, 90.00, 90.00 degrees
Space group P4/mmm (No. 123)
Asymmetric unit:
Ba1 0.0000 0.0000 0.0000
In1 0.0000 0.5000 0.5000
Ag1 0.5000 0.5000 0.0000
Pt1 0.5000 0.5000 0.5000

Output
Total magnetization   0.00 μB per formula unit
Energy of formation from the pure elements   -0.34 eV/atom
Calculated volume   29.12 Å³ per atom
Crystal system   tetragonal
DFT total energy   -3.60 eV/atom

=====

# 16
KP2SN | PBE | relaxed

Cell lengths 4.1191, 4.1191, 5.2816 Å; angles 90.00, 90.00, 90.00 degrees
Space group P4/mmm (No. 123)
Asymmetric unit:
K1 0.0000 0.0000 0.0000
P1 0.0000 0.5000 0.5000
S1 0.5000 0.5000 0.0000
N1 0.5000 0.5000 0.5000

Output
Total magnetization   0.00 μB per formula unit
Calculated volume   17.92 Å³ per atom
ΔE to the lowest computed polymorph   0.000 eV/atom
Crystal system   tetragonal
DFT total energy   -4.01 eV/atom
Energy relative to the elements, uncorrected   867.0 meV per atom

=====

# 17
La7Ce2Y2 | PBE | relaxed

Cell lengths 12.8239, 7.0268, 9.3411 Å; angles 90.00, 115.48, 90.00 degrees
Space group C2/m (No. 12)
Asymmetric unit:
La1 0.0000 0.0000 0.0000
La2 0.0045 0.5000 0.1834
La3 0.2328 0.2208 0.8215
Ce1 0.0000 0.2005 0.5000
Y1 0.2338 0.0000 0.4616

Output
Total magnetization   1.52 μB per formula unit
Energy of formation from the pure elements   0.18 eV/atom
Calculated volume   34.54 Å³ per atom
Crystal system   monoclinic
DFT total energy   -5.21 eV/atom

=====

# 18
Cu2PtSe | PBE | relaxed

Cell lengths 2.9544, 4.3298, 4.5878 Å; angles 90.00, 90.00, 90.00 degrees
Space group Pmm2 (No. 25)
Asymmetric unit:
Cu1 0.0000 0.0000 0.0000
Cu2 0.0000 0.5000 0.3142
Pt1 0.5000 0.5000 0.8240
Se1 0.5000 0.0000 0.4976

Output
Total magnetization   0.00 μB per formula unit
Calculated volume   14.67 Å³ per atom
Crystal system   orthorhombic
DFT total energy   -4.36 eV/atom
Energy relative to the elements, uncorrected   71.9 meV per atom

=====

# 19
AgRhAu2 | PBE | relaxed

Cell lengths 5.9647, 7.9832, 2.8334 Å; angles 90.00, 90.00, 90.00 degrees
Space group Cmmm (No. 65)
Asymmetric unit:
Ag1 0.0000 0.0000 0.0000
Rh1 0.0000 0.5000 0.0000
Au1 0.2500 0.2500 0.5000

Output
Total magnetization   0.00 μB per formula unit
Energy of formation from the pure elements   0.08 eV/atom
Calculated volume   16.86 Å³ per atom
ΔE to the lowest computed polymorph   0.000 eV/atom
Crystal system   orthorhombic
DFT total energy   -4.11 eV/atom

=====

# 20
Ca2Ga2CuPd5 | PBE | relaxed

Cell lengths 9.8935, 9.8935, 3.6116 Å; angles 90.00, 90.00, 90.00 degrees
Space group P4/mbm (No. 127)
Asymmetric unit:
Ca1 0.1740 0.3260 0.0000
Ga1 0.1263 0.6263 0.0000
Cu1 0.0000 0.0000 0.0000
Pd1 0.0000 0.5000 0.5000
Pd2 0.0646 0.8011 0.5000

Output
Total magnetization   0.00 μB per formula unit
Energy of formation from the pure elements   -0.60 eV/atom
Calculated volume   17.68 Å³ per atom
Crystal system   tetragonal
DFT total energy   -4.61 eV/atom

=====

# 21
Dy2Be2ZnRh5 | PBE | relaxed

Cell lengths 9.5974, 9.5974, 3.2446 Å; angles 90.00, 90.00, 90.00 degrees
Space group P4/mbm (No. 127)
Asymmetric unit:
Dy1 0.1766 0.3234 0.0000
Be1 0.1218 0.6218 0.0000
Zn1 0.0000 0.0000 0.0000
Rh1 0.0000 0.5000 0.5000
Rh2 0.0680 0.7880 0.5000

Output
Total magnetization   0.00 μB per formula unit
Energy of formation from the pure elements   -0.74 eV/atom
Calculated volume   14.94 Å³ per atom
Crystal system   tetragonal
DFT total energy   -6.20 eV/atom

=====

# 22
ScTlAs2 | PBE | relaxed

Cell lengths 4.5289, 4.5289, 8.4194 Å; angles 90.00, 90.00, 90.00 degrees
Space group I4/mmm (No. 139)
Asymmetric unit:
Sc1 0.0000 0.0000 0.0000
Tl1 0.0000 0.0000 0.5000
As1 0.0000 0.5000 0.2500

Output
Total magnetization   0.00 μB per formula unit
Energy of formation from the pure elements   -0.25 eV/atom
Calculated volume   21.59 Å³ per atom
ΔE to the lowest computed polymorph   0.280 eV/atom
Crystal system   tetragonal
DFT total energy   -4.74 eV/atom

=====

# 23
SrYS2 | PBE | relaxed

Cell lengths 4.4027, 4.4027, 24.5948 Å; angles 90.00, 90.00, 120.00 degrees
Space group R-3m (No. 166, hexagonal axes)
Asymmetric unit:
Sr1 0.0000 0.0000 0.0000
Y1 0.0000 0.0000 0.5000
S1 0.0000 0.0000 0.3976

Output
Total magnetization   0.00 μB per formula unit
Calculated volume   34.41 Å³ per atom
ΔE to the lowest computed polymorph   0.634 eV/atom
Crystal system   trigonal
DFT total energy   -5.51 eV/atom
Energy relative to the elements, uncorrected   -1410.3 meV per atom